[1]
A relaxed structure of SrInPb2. Source: Alexandria, functional PBE.

```
SrInPb2
1.0
3.960 0.000 0.000
0.000 4.374 0.000
0.000 0.000 7.433
Sr In Pb
1 1 2
Cartesian
0.000 0.000 0.000
1.980 2.187 2.055
0.000 0.000 3.643
1.980 2.187 5.315
```

Fermi-level density of states	2.04	states/eV per cell
V	128.76	Å³/f.u.
calculated density	8.0	g/cm3
ΔH_f (0 K)	-0.247	eV per atom

=====

[2]
A relaxed structure of CuSiRu2. Source: Alexandria, functional PBE.

```
CuSiRu2
1.0
1.403 -2.314 0.000
1.403 2.314 0.000
0.000 0.000 8.431
Cu Si Ru
1 1 2
Cartesian
0.000 0.000 0.000
1.403 0.000 1.978
0.000 0.000 3.910
1.403 0.000 6.187
```

Fermi-level density of states	4.24	states/eV per cell
V	54.74	Å³/f.u.
calculated density	8.9	g/cm3
formation energy (no corrections)	0.264	eV/atom